The following is a DFT calculation (PBE-GGA) of a geometry-optimized Sm6Si2C structure.

```
Sm6Si2C
1.0
6.3238 0.0000 0.0000
0.0000 7.9290 0.0000
-6.0284 0.0000 9.4829
Sm Si C
12 4 2
direct
0.1135 0.1605 0.4444
0.1135 0.3395 0.9444
0.3069 0.7042 0.4461
0.3069 0.7958 0.9461
0.3631 0.0350 0.2478
0.3631 0.4650 0.7478
0.6369 0.5350 0.2522
0.6369 0.9650 0.7522
0.6931 0.2042 0.0539
0.6931 0.2958 0.5539
0.8865 0.6605 0.0556
0.8865 0.8395 0.5556
0.1908 0.1136 0.7566
0.1908 0.3864 0.2566
0.8092 0.6136 0.7434
0.8092 0.8864 0.2434
0.5000 0.0000 0.5000
0.5000 0.5000 0.0000
```

## Properties
- Symmetry: P2_1/c (14)
- N(E_F): 16.78 states/eV per cell
- Formation energy from raw total energies: -0.401 eV/atom
- Total energy: -0.2123 Ha/atom
- Density: 6.78 Mg/m³
- V: 26.416 Å³/atom